Pm6In2Co: relaxed, PBE.

Values from the calculation:
For the electronic total energy, the calculation gives -43.4 eV per cell. For the volume, the calculation gives 260 Å³ per cell.

a b c (Å): 3.792 8.906 8.903
angles (deg): 120.01 90.00 90.00
Fractional coordinates of all 9 atoms:
Pm1 0.500 0.400 0.401
Pm2 0.000 0.234 0.000
Pm3 0.000 0.000 0.233
Pm4 0.500 0.600 0.000
Pm5 0.500 0.000 0.599
Pm6 0.000 0.767 0.767
In1 0.000 0.333 0.667
In2 0.000 0.666 0.333
Co1 0.500 0.001 0.000

=====

Pm5In2Co2: relaxed, PBE.

Values from the calculation:
For the electronic total energy, the calculation gives -90.5 eV per cell. For the volume, the calculation gives 479 Å³ per cell.

a b c (Å): 8.425 7.028 8.814
angles (deg): 113.50 90.00 90.00
Fractional coordinates of all 18 atoms:
In1 0.000 0.218 0.437
In2 0.000 0.782 0.563
In3 0.500 0.718 0.437
In4 0.500 0.282 0.563
Co1 0.604 0.887 0.000
Co2 0.396 0.113 0.000
Co3 0.896 0.387 0.000
Co4 0.104 0.613 0.000
Pm1 0.500 0.500 0.000
Pm2 0.000 0.000 0.000
Pm3 0.315 0.955 0.236
Pm4 0.315 0.719 0.764
Pm5 0.815 0.781 0.236
Pm6 0.185 0.455 0.236
Pm7 0.685 0.045 0.764
Pm8 0.185 0.219 0.764
Pm9 0.685 0.281 0.236
Pm10 0.815 0.545 0.764

=====

Pm8InCo2: relaxed, PBE.

Values from the calculation:
For the electronic total energy, the calculation gives -55.7 eV per cell. For the volume, the calculation gives 316 Å³ per cell.

a b c (Å): 5.389 8.124 8.124
angles (deg): 114.47 96.91 96.91
Fractional coordinates of all 11 atoms:
Pm1 0.938 0.929 0.672
Pm2 0.302 0.609 0.609
Pm3 0.500 0.747 0.253
Pm4 0.062 0.071 0.328
Pm5 0.938 0.672 0.929
Pm6 0.698 0.391 0.391
Pm7 0.500 0.253 0.747
Pm8 0.062 0.328 0.071
Co1 0.000 0.302 0.698
Co2 0.000 0.698 0.302
In1 0.500 0.000 0.000